#w
A relaxed YReW2 crystal. Source: Alexandria, functional PBE.

Output
SG = Pmmm, No. 47
Total magnetic moment = 0.000 μB/cell
ρ = 15.0 g cm⁻³
Crystal system = orthorhombic

abc: 3.2434 4.6215 4.7353
angles: 90.00 90.00 90.00
Element x y z (fractional)
Y 0.0000 0.0000 0.0000
Re 0.5000 0.5000 0.0000
W 0.0000 0.5000 0.5000
W 0.5000 0.0000 0.5000

#x
A relaxed YReW2 crystal. Source: Alexandria, functional PBE.

Output
SG = Imm2, No. 44
Total magnetic moment = 0.000 μB/cell
ρ = 14.8 g cm⁻³
Crystal system = orthorhombic

abc: 5.4676 5.4676 5.4676
angles: 145.66 127.87 63.92
Element x y z (fractional)
Y 0.0000 0.0000 0.0000
Re 0.2645 0.7645 0.5000
W 0.4948 0.4948 0.0000
W 0.7304 0.2304 0.5000

Energetically preferred structure: #x | next structure: +49 meV per atom

#w
A relaxed YRe2W crystal. Source: Alexandria, functional PBE.

Output
SG = Pm, No. 6
Total magnetic moment = 0.000 μB/cell
ρ = 15.4 g cm⁻³
Crystal system = monoclinic

abc: 2.8619 4.5587 5.4269
angles: 90.00 100.64 90.00
Element x y z (fractional)
Y 0.0000 0.0000 0.0000
Re 0.4939 0.0000 0.4986
Re 0.7452 0.5000 0.2581
W 0.2650 0.5000 0.7271

#x
A relaxed YRe2W crystal. Source: Alexandria, functional PBE.

Output
SG = I-4m2, No. 119
Total magnetic moment = 0.000 μB/cell
ρ = 15.6 g cm⁻³
Crystal system = tetragonal

abc: 4.5915 4.5915 4.5915
angles: 119.96 119.96 90.07
Element x y z (fractional)
Y 0.0000 0.0000 0.0000
Re 0.5000 0.5000 0.0000
Re 0.7500 0.2500 0.5000
W 0.2500 0.7500 0.5000

Energetically preferred structure: #x | next structure: +33 meV per atom

#w
A relaxed YRe2W crystal. Source: Alexandria, functional PBE.

Output
SG = R3m, No. 160
Total magnetic moment = 0.000 μB/cell
ρ = 15.2 g cm⁻³
Crystal system = trigonal

abc: 9.8948 9.8948 9.8948
angles: 16.79 16.79 16.79
Element x y z (fractional)
Y 0.0000 0.0000 0.0000
Re 0.4961 0.4961 0.4961
Re 0.7578 0.7578 0.7578
W 0.2408 0.2408 0.2408

#x
A relaxed YRe2W crystal. Source: Alexandria, functional PBE.

Output
SG = P4/mmm, No. 123
Total magnetic moment = 0.000 μB/cell
ρ = 14.9 g cm⁻³
Crystal system = tetragonal

abc: 3.2086 3.2086 6.9859
angles: 90.00 90.00 90.00
Element x y z (fractional)
Y 0.0000 0.0000 0.0000
Re 0.5000 0.5000 0.2879
Re 0.5000 0.5000 0.7121
W 0.0000 0.0000 0.5000

Energetically preferred structure: #x | next structure: +358 meV per atom

#w
A relaxed YRe2W crystal. Source: Alexandria, functional PBE.

Output
SG = Cmm2, No. 35
Total magnetic moment = 0.000 μB/cell
ρ = 15.3 g cm⁻³
Crystal system = orthorhombic

abc: 2.8227 2.8227 9.3639
angles: 90.00 90.00 110.07
Element x y z (fractional)
Y 0.0000 0.0000 0.0000
Re 0.0000 0.0000 0.5093
Re 0.5000 0.5000 0.7321
W 0.5000 0.5000 0.2821

#x
A relaxed YRe2W crystal. Source: Alexandria, functional PBE.

Output
SG = I-42d, No. 122
Total magnetic moment = 0.000 μB/cell
ρ = 13.6 g cm⁻³
Crystal system = tetragonal

abc: 5.9871 5.9871 5.9871
angles: 102.87 102.87 123.69
Element x y z (fractional)
Y 0.0000 0.0000 0.0000
Y 0.7500 0.2500 0.5000
Re 0.1668 0.6250 0.0418
Re 0.3750 0.4168 0.5418
Re 0.5832 0.1250 0.9582
Re 0.8750 0.8332 0.4582
W 0.2500 0.7500 0.5000
W 0.5000 0.5000 0.0000

#y
A relaxed YRe2W crystal. Source: Alexandria, functional PBE.

Output
SG = Cmmm, No. 65
Total magnetic moment = 0.000 μB/cell
ρ = 15.4 g cm⁻³
Crystal system = orthorhombic

abc: 2.8275 2.8275 9.3009
angles: 90.00 90.00 110.74
Element x y z (fractional)
Y 0.0000 0.0000 0.0000
Re 0.5000 0.5000 0.2717
Re 0.5000 0.5000 0.7283
W 0.0000 0.0000 0.5000

#z
A relaxed YRe2W crystal. Source: Alexandria, functional PBE.

Output
SG = P4mm, No. 99
Total magnetic moment = 0.000 μB/cell
ρ = 14.7 g cm⁻³
Crystal system = tetragonal

abc: 3.1369 3.1369 7.3885
angles: 90.00 90.00 90.00
Element x y z (fractional)
Y 0.0000 0.0000 0.0000
Re 0.0000 0.0000 0.4929
Re 0.5000 0.5000 0.2915
W 0.5000 0.5000 0.7043

Energetically preferred structure: #z | next structure: +14 meV per atom